The following is a PBE with a Hubbard U calculation of an optimized crystal structure of Ba3Be2CoO6, from Alexandria via LeMat-Bulk.

Summary:
Fermi-level density of states (states/eV per atom): 0.535
DFT total energy (eV per cell): -74.52

The structure in CIF format:
```
data_Ba3Be2CoO6
_chemical_formula_sum 'Ba3 Be2 Co1 O6'
_cell_length_a 5.708
_cell_length_b 5.708
_cell_length_c 6.751
_cell_angle_alpha 90.00
_cell_angle_beta 90.00
_cell_angle_gamma 120.00
_space_group_name_H-M_alt 'P 1'
_space_group_IT_number 1
_space_group_name_Hall 'P 1'
loop_
_atom_site_label
_atom_site_fract_x
_atom_site_fract_y
_atom_site_fract_z
_atom_site_occupancy
Ba1 0.333 0.667 0.675 1
Ba2 0.667 0.333 0.325 1
Ba3 0.000 0.000 0.000 1
Be1 0.667 0.333 0.726 1
Be2 0.333 0.667 0.274 1
O1 0.645 0.823 0.299 1
O2 0.177 0.823 0.299 1
O3 0.177 0.355 0.299 1
O4 0.823 0.177 0.701 1
O5 0.355 0.177 0.701 1
O6 0.823 0.645 0.701 1
Co1 0.000 0.000 0.500 1
```